No. 1
Ac4Pm3Pb4 | GGA-PBE | optimized geometry

Cell: 11.490 11.490 11.490 Å, 161.03 127.21 56.60°
Sites, in units of the cell vectors:
Ac (0.012, 0.837, 0.175)
Ac (0.338, 0.163, 0.175)
Ac (0.662, 0.837, 0.825)
Ac (0.988, 0.163, 0.825)
Pm (0.000, 0.500, 0.500)
Pm (0.412, 0.412, 0.000)
Pm (0.588, 0.588, 0.000)
Pb (0.278, 0.000, 0.278)
Pb (0.281, 0.781, 0.500)
Pb (0.719, 0.219, 0.500)
Pb (0.722, 0.000, 0.722)

As for the total energy: -0.33310 Ry/atom. The density of states at the Fermi level is 0.7446 states/eV/atom. The value obtained for the size of the total moment is 0.00 μB per cell.


No. 2
AcPm12Pb7 | GGA-PBE | optimized geometry

Cell: 9.716 9.716 9.716 Å, 110.95 110.95 110.95°
Sites, in units of the cell vectors:
Ac (0.000, 0.000, 0.000)
Pm (0.000, 0.275, 0.725)
Pm (0.000, 0.725, 0.275)
Pm (0.158, 0.491, 0.491)
Pm (0.275, 0.000, 0.725)
Pm (0.275, 0.725, 0.000)
Pm (0.491, 0.158, 0.491)
Pm (0.491, 0.491, 0.158)
Pm (0.509, 0.509, 0.842)
Pm (0.509, 0.842, 0.509)
Pm (0.725, 0.000, 0.275)
Pm (0.725, 0.275, 0.000)
Pm (0.842, 0.509, 0.509)
Pb (0.138, 0.138, 0.455)
Pb (0.138, 0.455, 0.138)
Pb (0.455, 0.138, 0.138)
Pb (0.500, 0.500, 0.500)
Pb (0.545, 0.862, 0.862)
Pb (0.862, 0.545, 0.862)
Pb (0.862, 0.862, 0.545)

As for the total energy: -0.34403 Ry/atom. The density of states at the Fermi level is 1.2077 states/eV/atom. The value obtained for the size of the total moment is 0.00 μB per cell.


No. 3
Ac6PmPb2 | GGA-PBE | optimized geometry

Cell: 7.246 7.246 11.154 Å, 121.69 121.69 49.19°
Sites, in units of the cell vectors:
Ac (0.073, 0.073, 0.394)
Ac (0.303, 0.303, 0.949)
Ac (0.341, 0.341, 0.325)
Ac (0.659, 0.659, 0.675)
Ac (0.697, 0.697, 0.051)
Ac (0.927, 0.927, 0.606)
Pm (0.000, 0.000, 0.000)
Pb (0.391, 0.391, 0.720)
Pb (0.609, 0.609, 0.280)

As for the total energy: -0.31357 Ry/atom. The density of states at the Fermi level is 1.3065 states/eV/atom. The value obtained for the size of the total moment is 0.00 μB per cell.


No. 4
Ac4PmPb5 | GGA-PBE | optimized geometry

Cell: 3.826 3.826 23.445 Å, 90.00 90.00 90.00°
Sites, in units of the cell vectors:
Ac (0.000, 0.000, 0.102)
Ac (0.000, 0.000, 0.306)
Ac (0.000, 0.000, 0.694)
Ac (0.000, 0.000, 0.898)
Pm (0.000, 0.000, 0.500)
Pb (0.500, 0.500, 0.000)
Pb (0.500, 0.500, 0.204)
Pb (0.500, 0.500, 0.408)
Pb (0.500, 0.500, 0.592)
Pb (0.500, 0.500, 0.796)

As for the total energy: -0.32774 Ry/atom. The density of states at the Fermi level is 0.7695 states/eV/atom. The value obtained for the size of the total moment is 0.00 μB per cell.


No. 5
AcPmPb4 | GGA-PBE | optimized geometry

Cell: 6.548 6.548 6.548 Å, 60.00 60.00 60.00°
Sites, in units of the cell vectors:
Ac (0.000, 0.000, 0.000)
Pm (0.250, 0.250, 0.250)
Pb (0.126, 0.625, 0.625)
Pb (0.625, 0.126, 0.625)
Pb (0.625, 0.625, 0.126)
Pb (0.625, 0.625, 0.625)

As for the total energy: -0.30734 Ry/atom. The density of states at the Fermi level is 1.0808 states/eV/atom. The value obtained for the size of the total moment is 0.76 μB per cell.


No. 6
Ac3PmPb4 | GGA-PBE | optimized geometry

Cell: 8.515 8.515 8.515 Å, 137.80 137.80 61.21°
Sites, in units of the cell vectors:
Ac (0.000, 0.000, 0.000)
Ac (0.258, 0.258, 0.000)
Ac (0.742, 0.742, 0.000)
Pm (0.500, 0.500, 0.000)
Pb (0.118, 0.618, 0.500)
Pb (0.382, 0.882, 0.500)
Pb (0.618, 0.118, 0.500)
Pb (0.882, 0.382, 0.500)

As for the total energy: -0.32771 Ry/atom. The density of states at the Fermi level is 0.8768 states/eV/atom. The value obtained for the size of the total moment is 1.15 μB per cell.


No. 7
Ac12PmPb6 | GGA-PBE | optimized geometry

Cell: 9.957 9.957 9.957 Å, 107.73 107.73 107.73°
Sites, in units of the cell vectors:
Ac (0.020, 0.327, 0.881)
Ac (0.105, 0.436, 0.350)
Ac (0.119, 0.980, 0.673)
Ac (0.327, 0.881, 0.020)
Ac (0.350, 0.105, 0.436)
Ac (0.436, 0.350, 0.105)
Ac (0.564, 0.650, 0.895)
Ac (0.650, 0.895, 0.564)
Ac (0.673, 0.119, 0.980)
Ac (0.881, 0.020, 0.327)
Ac (0.895, 0.564, 0.650)
Ac (0.980, 0.673, 0.119)
Pm (0.000, 0.000, 0.000)
Pb (0.213, 0.342, 0.655)
Pb (0.342, 0.655, 0.213)
Pb (0.345, 0.787, 0.658)
Pb (0.655, 0.213, 0.342)
Pb (0.658, 0.345, 0.787)
Pb (0.787, 0.658, 0.345)

As for the total energy: -0.30691 Ry/atom. The density of states at the Fermi level is 1.3442 states/eV/atom. The value obtained for the size of the total moment is 0.00 μB per cell.


No. 8
AcPmPuPb | GGA-PBE | optimized geometry

Cell: 5.659 5.659 5.659 Å, 60.00 60.00 60.00°
Sites, in units of the cell vectors:
Ac (0.000, 0.000, 0.000)
Pm (0.250, 0.250, 0.250)
Pu (0.750, 0.750, 0.750)
Pb (0.500, 0.500, 0.500)

As for the total energy: -0.49108 Ry/atom. The density of states at the Fermi level is 3.6615 states/eV/atom. The value obtained for the size of the total moment is 7.11 μB per cell.


No. 9
AcPmRhPb | GGA-PBE | optimized geometry

Cell: 4.855 4.855 10.541 Å, 90.00 90.00 90.00°
Sites, in units of the cell vectors:
Ac (0.250, 0.250, 0.216)
Ac (0.750, 0.750, 0.784)
Pm (0.250, 0.750, 0.500)
Pm (0.750, 0.250, 0.500)
Rh (0.250, 0.250, 0.648)
Rh (0.750, 0.750, 0.352)
Pb (0.250, 0.250, 0.904)
Pb (0.750, 0.750, 0.096)

As for the total energy: -0.39767 Ry/atom. The density of states at the Fermi level is 0.7546 states/eV/atom. The value obtained for the size of the total moment is 0.00 μB per cell.


No. 10
AcPmRhPb | GGA-PBE | optimized geometry

Cell: 5.451 5.451 5.451 Å, 60.00 60.00 60.00°
Sites, in units of the cell vectors:
Ac (0.000, 0.000, 0.000)
Pm (0.500, 0.500, 0.500)
Rh (0.750, 0.750, 0.750)
Pb (0.250, 0.250, 0.250)

As for the total energy: -0.39373 Ry/atom. The density of states at the Fermi level is 0.9364 states/eV/atom. The value obtained for the size of the total moment is 0.00 μB per cell.


No. 11
AcPmSbPb | GGA-PBE | optimized geometry

Cell: 5.691 5.691 5.691 Å, 60.00 60.00 60.00°
Sites, in units of the cell vectors:
Ac (0.000, 0.000, 0.000)
Pm (0.500, 0.500, 0.500)
Sb (0.750, 0.750, 0.750)
Pb (0.250, 0.250, 0.250)

The raw formation energy is -0.62 eV/atom. As for the total energy: -0.35188 Ry/atom. The density of states at the Fermi level is 1.2204 states/eV/atom. The value obtained for the size of the total moment is 0.00 μB per cell.


No. 12
AcPmScPb | GGA-PBE | optimized geometry

Cell: 5.546 5.546 5.546 Å, 60.00 60.00 60.00°
Sites, in units of the cell vectors:
Ac (0.000, 0.000, 0.000)
Pm (0.750, 0.750, 0.750)
Sc (0.250, 0.250, 0.250)
Pb (0.500, 0.500, 0.500)

As for the total energy: -0.35100 Ry/atom. The density of states at the Fermi level is 1.5974 states/eV/atom. The value obtained for the size of the total moment is 0.00 μB per cell.


No. 13
AcPmSiPb | GGA-PBE | optimized geometry

Cell: 5.530 5.530 5.530 Å, 60.00 60.00 60.00°
Sites, in units of the cell vectors:
Ac (0.000, 0.000, 0.000)
Pm (0.500, 0.500, 0.500)
Si (0.250, 0.250, 0.250)
Pb (0.750, 0.750, 0.750)

The raw formation energy is -0.30 eV/atom. As for the total energy: -0.35267 Ry/atom. The density of states at the Fermi level is 1.2908 states/eV/atom. The value obtained for the size of the total moment is 0.00 μB per cell.


No. 14
AcPmSmPb | GGA-PBE | optimized geometry

Cell: 5.696 5.696 5.696 Å, 60.00 60.00 60.00°
Sites, in units of the cell vectors:
Ac (0.000, 0.000, 0.000)
Pm (0.750, 0.750, 0.750)
Sm (0.250, 0.250, 0.250)
Pb (0.500, 0.500, 0.500)

As for the total energy: -0.32589 Ry/atom. The density of states at the Fermi level is 1.6684 states/eV/atom. The value obtained for the size of the total moment is 0.00 μB per cell.


No. 15
SrAcPmPb | GGA-PBE | optimized geometry

Cell: 5.901 5.901 5.901 Å, 60.00 60.00 60.00°
Sites, in units of the cell vectors:
Sr (0.000, 0.000, 0.000)
Ac (0.250, 0.250, 0.250)
Pm (0.500, 0.500, 0.500)
Pb (0.750, 0.750, 0.750)

As for the total energy: -0.26263 Ry/atom. The density of states at the Fermi level is 1.6025 states/eV/atom. The value obtained for the size of the total moment is 1.09 μB per cell.


No. 16
AcPmTePb | GGA-PBE | optimized geometry

Cell: 5.696 5.696 5.696 Å, 60.00 60.00 60.00°
Sites, in units of the cell vectors:
Ac (0.000, 0.000, 0.000)
Pm (0.500, 0.500, 0.500)
Te (0.750, 0.750, 0.750)
Pb (0.250, 0.250, 0.250)

The raw formation energy is -0.80 eV/atom. As for the total energy: -0.34748 Ry/atom. The density of states at the Fermi level is 0.7076 states/eV/atom. The value obtained for the size of the total moment is 0.00 μB per cell.


No. 17
AcPmTePb | GGA-PBE | optimized geometry

Cell: 8.091 8.091 8.091 Å, 33.63 33.63 33.63°
Sites, in units of the cell vectors:
Ac (0.000, 0.000, 0.000)
Pm (0.494, 0.494, 0.494)
Te (0.242, 0.242, 0.242)
Pb (0.753, 0.753, 0.753)

The raw formation energy is -1.02 eV/atom. As for the total energy: -0.36371 Ry/atom. The density of states at the Fermi level is 0.3703 states/eV/atom. The value obtained for the size of the total moment is 0.00 μB per cell.


No. 18
AcPmThPb | GGA-PBE | optimized geometry

Cell: 5.719 5.719 5.719 Å, 60.00 60.00 60.00°
Sites, in units of the cell vectors:
Ac (0.000, 0.000, 0.000)
Pm (0.750, 0.750, 0.750)
Th (0.250, 0.250, 0.250)
Pb (0.500, 0.500, 0.500)

As for the total energy: -0.36804 Ry/atom. The density of states at the Fermi level is 0.9456 states/eV/atom. The value obtained for the size of the total moment is 0.00 μB per cell.


No. 19
AcPmTlPb | GGA-PBE | optimized geometry

Cell: 5.699 5.699 5.699 Å, 60.00 60.00 60.00°
Sites, in units of the cell vectors:
Ac (0.000, 0.000, 0.000)
Pm (0.500, 0.500, 0.500)
Tl (0.750, 0.750, 0.750)
Pb (0.250, 0.250, 0.250)

As for the total energy: -0.30363 Ry/atom. The density of states at the Fermi level is 0.6712 states/eV/atom. The value obtained for the size of the total moment is 0.00 μB per cell.


No. 20
AcPmTlPb | GGA-PBE | optimized geometry

Cell: 4.587 6.620 6.620 Å, 43.02 90.00 90.00°
Sites, in units of the cell vectors:
Ac (0.000, 0.000, 0.000)
Pm (0.500, 0.728, 0.728)
Tl (0.500, 0.449, 0.449)
Pb (0.000, 0.273, 0.273)

As for the total energy: -0.30649 Ry/atom. The density of states at the Fermi level is 1.0346 states/eV/atom. The value obtained for the size of the total moment is 0.00 μB per cell.


No. 21
AcPmTmPb | GGA-PBE | optimized geometry

Cell: 5.640 5.640 5.640 Å, 60.00 60.00 60.00°
Sites, in units of the cell vectors:
Ac (0.000, 0.000, 0.000)
Pm (0.750, 0.750, 0.750)
Tm (0.250, 0.250, 0.250)
Pb (0.500, 0.500, 0.500)

As for the total energy: -0.31735 Ry/atom. The density of states at the Fermi level is 1.5794 states/eV/atom. The value obtained for the size of the total moment is 0.00 μB per cell.


No. 22
AcPmYPb | GGA-PBE | optimized geometry

Cell: 5.666 5.666 5.666 Å, 60.00 60.00 60.00°
Sites, in units of the cell vectors:
Ac (0.000, 0.000, 0.000)
Pm (0.750, 0.750, 0.750)
Y (0.250, 0.250, 0.250)
Pb (0.500, 0.500, 0.500)

As for the total energy: -0.35670 Ry/atom. The density of states at the Fermi level is 1.6665 states/eV/atom. The value obtained for the size of the total moment is 0.00 μB per cell.


No. 23
AcPmZnPb | GGA-PBE | optimized geometry

Cell: 5.564 5.564 5.564 Å, 60.00 60.00 60.00°
Sites, in units of the cell vectors:
Ac (0.000, 0.000, 0.000)
Pm (0.500, 0.500, 0.500)
Zn (0.750, 0.750, 0.750)
Pb (0.250, 0.250, 0.250)

As for the total energy: -0.28015 Ry/atom. The density of states at the Fermi level is 0.8729 states/eV/atom. The value obtained for the size of the total moment is 0.00 μB per cell.


No. 24
Ac3Pr2Pb2 | GGA-PBE | optimized geometry

Cell: 6.917 6.917 9.287 Å, 107.31 107.31 40.01°
Sites, in units of the cell vectors:
Ac (0.000, 0.000, 0.000)
Ac (0.128, 0.128, 0.439)
Ac (0.872, 0.872, 0.561)
Pr (0.364, 0.364, 0.210)
Pr (0.636, 0.636, 0.790)
Pb (0.316, 0.316, 0.814)
Pb (0.684, 0.684, 0.186)

As for the total energy: -0.32939 Ry/atom. The density of states at the Fermi level is 1.2260 states/eV/atom. The value obtained for the size of the total moment is 0.00 μB per cell.


No. 25
Ac2Pr5Pb4 | GGA-PBE | optimized geometry

Cell: 12.062 12.062 9.167 Å, 90.92 90.92 17.40°
Sites, in units of the cell vectors:
Ac (0.051, 0.051, 0.157)
Ac (0.949, 0.949, 0.843)
Pr (0.160, 0.160, 0.445)
Pr (0.187, 0.187, 0.029)
Pr (0.500, 0.500, 0.500)
Pr (0.813, 0.813, 0.971)
Pr (0.840, 0.840, 0.555)
Pb (0.088, 0.088, 0.763)
Pb (0.287, 0.287, 0.280)
Pb (0.713, 0.713, 0.720)
Pb (0.912, 0.912, 0.237)

As for the total energy: -0.31944 Ry/atom. The density of states at the Fermi level is 1.2680 states/eV/atom. The value obtained for the size of the total moment is 0.00 μB per cell.


No. 26
Ac3Pr2Pb3 | GGA-PBE | optimized geometry

Cell: 12.103 12.103 12.103 Å, 158.04 154.35 34.01°
Sites, in units of the cell vectors:
Ac (0.000, 0.000, 0.000)
Ac (0.380, 0.880, 0.500)
Ac (0.620, 0.120, 0.500)
Pr (0.242, 0.242, 0.000)
Pr (0.758, 0.758, 0.000)
Pb (0.137, 0.637, 0.500)
Pb (0.500, 0.500, 0.000)
Pb (0.863, 0.363, 0.500)

As for the total energy: -0.33212 Ry/atom. The density of states at the Fermi level is 1.2784 states/eV/atom. The value obtained for the size of the total moment is 0.00 μB per cell.